Entry from Alexandria via LeMat-Bulk: BeNiTe after structural relaxation (GGA-PBE).

Symmetry: P6_3/mmc (194)
Uncorrected formation energy (meV per atom): 600

Unit cell a=4.0846 b=4.0846 c=9.5105 alpha=90.00 beta=90.00 gamma=120.00
With the nearest neighbours (Å) after each atom.
Positions (direct):
Be1 0.3333 0.6667 0.2500  3 Te 2.36
Be2 0.6667 0.3333 0.7500  3 Te 2.36
Ni1 0.0000 0.0000 0.0000  2 Te 2.38
Ni2 0.0000 0.0000 0.5000  2 Te 2.38
Te1 0.0000 0.0000 0.2500  3 Be 2.36, 2 Ni 2.38
Te2 0.0000 0.0000 0.7500  3 Be 2.36, 2 Ni 2.38